(1)
{
  "formula": "TlMoN3",
  "functional": "PBE",
  "state": "optimized geometry",
  "lattice": [[4.034, 0.000, 0.000], [0.000, 4.034, 0.000], [0.000, 0.000, 4.034]],
  "species": ["N", "Tl", "N", "Mo", "N"],
  "frac_coords": [[0.000, 0.500, 0.000], [0.500, 0.500, 0.500], [0.500, 0.000, 0.000], [0.000, 0.000, 0.000], [0.000, 0.000, 0.500]]
}



(2)
{
  "formula": "Tl2ZnMoN",
  "functional": "PBE",
  "state": "optimized geometry",
  "lattice": [[5.146, 0.000, 0.000], [0.000, 5.028, 0.000], [0.000, 0.000, 5.146]],
  "species": ["N", "Mo", "Tl", "Zn", "Tl"],
  "frac_coords": [[0.500, 0.500, 0.500], [0.000, 0.500, 0.000], [0.500, 0.000, 0.000], [0.000, 0.000, 0.000], [0.000, 0.000, 0.500]]
}



(3)
{
  "formula": "TmMoN2",
  "functional": "PBE",
  "state": "optimized geometry",
  "lattice": [[3.167, 0.000, 0.000], [0.000, 5.654, 0.000], [0.000, 0.000, 10.526]],
  "species": ["Mo", "Mo", "Mo", "N", "Mo", "Tm", "N", "N", "Tm", "N", "Tm", "N", "N", "Tm", "N", "N"],
  "frac_coords": [[0.250, 0.068, 0.406], [0.250, 0.568, 0.094], [0.750, 0.932, 0.594], [0.750, 0.165, 0.751], [0.750, 0.432, 0.906], [0.250, 0.922, 0.854], [0.250, 0.236, 0.995], [0.250, 0.736, 0.505], [0.750, 0.578, 0.354], [0.250, 0.335, 0.251], [0.250, 0.422, 0.646], [0.750, 0.665, 0.749], [0.250, 0.835, 0.249], [0.750, 0.078, 0.146], [0.750, 0.264, 0.495], [0.750, 0.764, 0.005]],
  "de_polymorph_ev_per_atom": 0.0000
}



Number 1: formation energy without anion corrections 3.49 eV/f.u.. Number 2: formation energy without anion corrections 9.94 eV/f.u.. Number 3: formation energy without anion corrections -4.77 eV/f.u..